Here is a relaxed PmEr2Ir2 crystal from the Alexandria database. Energies are from GGA-PBE.

Lattice parameters (Å, degrees): 4.810 4.810 5.998 89.99 89.99 59.99
Fractional positions:
Er: 0.833 0.333 0.661
Ir: 0.833 0.333 0.179
Ir: 0.167 0.667 0.821
Pm: 0.500 0.000 0.000
Er: 0.167 0.667 0.339

Values from the calculation:
Its formation enthalpy at 0 K is -0.7446 eV/atom. As for the energy above the lowest structure with this stoichiometry: 0 meV per atom. The space group is P-3m1.